# Ca2Zn12Ir5, relaxed, DFT GGA-PBE
data_Ca2Zn12Ir5
_symmetry_space_group_name_H-M 'R -3 m'
_symmetry_Int_Tables_number 166
_symmetry_space_group_name_Hall '-R 3 2"'
_cell_length_a 9.0516
_cell_length_b 9.0516
_cell_length_c 13.2361
_cell_angle_alpha 90.00
_cell_angle_beta 90.00
_cell_angle_gamma 120.00
loop_
_atom_site_label
_atom_site_type_symbol
_atom_site_fract_x
_atom_site_fract_y
_atom_site_fract_z
Ca1 Ca 0.0000 0.0000 0.1726
Zn1 Zn 0.0000 0.2914 0.5000
Zn2 Zn 0.0035 0.5018 0.3501
Ir1 Ir 0.0000 0.0000 0.4032
Ir2 Ir 0.0000 0.5000 0.0000
# * ρ: 9686 kg/m3
# * energy relative to the elements: -0.2411 eV/atom

# TeAsIr, relaxed, DFT GGA-PBE
data_TeAsIr
_symmetry_space_group_name_H-M 'P 3 m 1'
_symmetry_Int_Tables_number 156
_cell_length_a 3.8222
_cell_length_b 3.8222
_cell_length_c 5.3284
_cell_angle_alpha 90.00
_cell_angle_beta 90.00
_cell_angle_gamma 120.00
loop_
_symmetry_equiv_pos_as_xyz
'x,y,z'
'-y,x-y,z'
'-x+y,-x,z'
'-y,-x,z'
'-x+y,y,z'
'x,x-y,z'
loop_
_atom_site_label
_atom_site_type_symbol
_atom_site_fract_x
_atom_site_fract_y
_atom_site_fract_z
Te1 Te 0.0000 0.0000 0.0000
As1 As 0.6667 0.3333 0.4954
Ir1 Ir 0.3333 0.6667 0.7001
# * raw formation energy: -0.1220 eV/atom
# * ρ: 9723 kg/m3